#P
A plane-wave DFT calculation with meta-GGA SCAN was carried out for a PBEsol-optimized structure of SrPbSe.

Values from the calculation:
For the density, the calculation gives 6.2 g/cm³.

The structure in CIF format:
```
data_SrPbSe
_cell_length_a 7.369
_cell_length_b 7.369
_cell_length_c 7.369
_cell_angle_alpha 90.00
_cell_angle_beta 90.00
_cell_angle_gamma 90.00
_space_group_name_H-M_alt 'F -4 3 m'
_space_group_IT_number 216
_space_group_name_Hall 'F -4 2 3'
loop_
_atom_site_label
_atom_site_fract_x
_atom_site_fract_y
_atom_site_fract_z
Sr1 0.000 0.000 0.000
Pb1 0.250 0.250 0.750
Se1 0.250 0.250 0.250
```

***

#Q
A plane-wave DFT calculation with meta-GGA SCAN was carried out for a PBEsol-optimized structure of SrPbSe.

Values from the calculation:
For the density, the calculation gives 6.9 g/cm³.

The structure in CIF format:
```
data_SrPbSe
_cell_length_a 5.0388
_cell_length_b 5.0388
_cell_length_c 4.0860
_cell_angle_alpha 90.00
_cell_angle_beta 90.00
_cell_angle_gamma 120.00
_space_group_name_H-M_alt 'P 3 m 1'
_space_group_IT_number 156
loop_
_space_group_symop_operation_xyz
'x,y,z'
'-y,x-y,z'
'-x+y,-x,z'
'-y,-x,z'
'-x+y,y,z'
'x,x-y,z'
loop_
_atom_site_label
_atom_site_fract_x
_atom_site_fract_y
_atom_site_fract_z
Sr1 0.0000 0.0000 0.0000
Pb1 0.3333 0.6667 0.4731
Se1 0.6667 0.3333 0.5934
```

***

Tell me which of them is the least stable. Sure, it is #P.

***

#P
A plane-wave DFT calculation with meta-GGA SCAN was carried out for a PBEsol-optimized structure of PbW2Se.

Values from the calculation:
For the density, the calculation gives 13.8 g/cm³.

The structure in CIF format:
```
data_PbW2Se
_cell_length_a 3.316
_cell_length_b 4.865
_cell_length_c 9.740
_cell_angle_alpha 90.00
_cell_angle_beta 90.00
_cell_angle_gamma 90.00
_space_group_name_H-M_alt 'C m m 2'
_space_group_IT_number 35
loop_
_space_group_symop_operation_xyz
'x,y,z'
'-x,-y,z'
'-x,y,z'
'x,-y,z'
'x+1/2,y+1/2,z'
'-x+1/2,-y+1/2,z'
'-x+1/2,y+1/2,z'
'x+1/2,-y+1/2,z'
loop_
_atom_site_label
_atom_site_fract_x
_atom_site_fract_y
_atom_site_fract_z
Pb1 0.000 0.000 0.000
W1 0.000 0.000 0.467
W2 0.000 0.500 0.259
Se1 0.000 0.500 0.672
```

***

#Q
A plane-wave DFT calculation with meta-GGA SCAN was carried out for a PBEsol-optimized structure of PbW2Se.

Values from the calculation:
For the density, the calculation gives 13.8 g/cm³.

The structure in CIF format:
```
data_PbW2Se
_cell_length_a 8.933
_cell_length_b 3.188
_cell_length_c 5.655
_cell_angle_alpha 90.00
_cell_angle_beta 101.85
_cell_angle_gamma 90.00
_space_group_name_H-M_alt 'C 1 m 1'
_space_group_IT_number 8
loop_
_space_group_symop_operation_xyz
'x,y,z'
'x,-y,z'
'x+1/2,y+1/2,z'
'x+1/2,-y+1/2,z'
loop_
_atom_site_label
_atom_site_fract_x
_atom_site_fract_y
_atom_site_fract_z
Pb1 0.000 0.000 0.000
W1 0.265 0.500 0.278
W2 0.483 0.000 0.490
Se1 0.220 0.000 0.612
```

***

Tell me which of them is the least stable. Sure, it is #Q.